# PuCuTe2 (PBE-GGA, optimized geometry)
# total magnetization: 18.97 μB per cell
# raw formation energy: 0.071 eV/atom
# final energy: -6.11 eV/atom
data_PuCuTe2
_cell_length_a 3.6833
_cell_length_b 3.6833
_cell_length_c 28.4483
_cell_angle_alpha 90.00
_cell_angle_beta 90.00
_cell_angle_gamma 120.00
_space_group_name_H-M_alt 'R -3 m'
_space_group_IT_number 166
_space_group_name_Hall '-R 3 2"'
loop_
_atom_site_label
_atom_site_type_symbol
_atom_site_fract_x
_atom_site_fract_y
_atom_site_fract_z
Pu1 Pu 0.0000 0.0000 0.0000
Cu1 Cu 0.0000 0.0000 0.5000
Te1 Te 0.0000 0.0000 0.1086



# Sm4Tl2Sn (PBE-GGA, optimized geometry)
# formation enthalpy at 0 K: -314 meV per atom
# total magnetization: 0.00 μB per cell
# excess energy over the best structure of this formula in the dataset: 114 meV/atom
# final energy: -4.26 eV/atom
data_Sm4Tl2Sn
_cell_length_a 5.3790
_cell_length_b 5.3790
_cell_length_c 26.4425
_cell_angle_alpha 90.00
_cell_angle_beta 90.00
_cell_angle_gamma 120.00
_space_group_name_H-M_alt 'R -3 m'
_space_group_IT_number 166
_space_group_name_Hall '-R 3 2"'
loop_
_atom_site_label
_atom_site_type_symbol
_atom_site_fract_x
_atom_site_fract_y
_atom_site_fract_z
Sm1 Sm 0.0000 0.0000 0.1226
Sm2 Sm 0.0000 0.0000 0.3760
Tl1 Tl 0.0000 0.0000 0.2569
Sn1 Sn 0.0000 0.0000 0.5000



# TlCd2Pd2 (PBE-GGA, optimized geometry)
# formation enthalpy at 0 K: -251 meV per atom
# total magnetization: 0.00 μB per cell
# excess energy over the best structure of this formula in the dataset: 0 meV/atom
# final energy: -3.17 eV/atom
data_TlCd2Pd2
_cell_length_a 7.492
_cell_length_b 7.492
_cell_length_c 3.555
_cell_angle_alpha 90.00
_cell_angle_beta 90.00
_cell_angle_gamma 90.00
_space_group_name_H-M_alt 'P 4/m b m'
_space_group_IT_number 127
_space_group_name_Hall '-P 4 2ab'
loop_
_atom_site_label
_atom_site_type_symbol
_atom_site_fract_x
_atom_site_fract_y
_atom_site_fract_z
Tl1 Tl 0.000 0.000 0.000
Cd1 Cd 0.150 0.350 0.500
Pd1 Pd 0.145 0.645 0.000



# Y3Ge2Au4 (PBE-GGA, optimized geometry)
# formation enthalpy at 0 K: -805 meV per atom
# total magnetization: 0.00 μB per cell
# final energy: -5.44 eV/atom
data_Y3Ge2Au4
_cell_length_a 10.678
_cell_length_b 4.531
_cell_length_c 8.776
_cell_angle_alpha 90.00
_cell_angle_beta 114.25
_cell_angle_gamma 90.00
_space_group_name_H-M_alt 'C 1 2/m 1'
_space_group_IT_number 12
loop_
_space_group_symop_operation_xyz
'x,y,z'
'-x,-y,-z'
'-x,y,-z'
'x,-y,z'
'x+1/2,y+1/2,z'
'-x+1/2,-y+1/2,-z'
'-x+1/2,y+1/2,-z'
'x+1/2,-y+1/2,z'
loop_
_atom_site_label
_atom_site_type_symbol
_atom_site_fract_x
_atom_site_fract_y
_atom_site_fract_z
Y1 Y 0.000 0.000 0.000
Y2 Y 0.155 0.500 0.679
Ge1 Ge 0.122 0.500 0.288
Au1 Au 0.082 0.000 0.409
Au2 Au 0.209 0.500 0.056



# TbHfAgOs (PBE-GGA, optimized geometry)
# formation enthalpy at 0 K: -212 meV per atom
# total magnetization: 0.00 μB per cell
# final energy: -7.38 eV/atom
data_TbHfAgOs
_cell_length_a 6.835
_cell_length_b 6.835
_cell_length_c 6.835
_cell_angle_alpha 90.00
_cell_angle_beta 90.00
_cell_angle_gamma 90.00
_space_group_name_H-M_alt 'F -4 3 m'
_space_group_IT_number 216
_space_group_name_Hall 'F -4 2 3'
loop_
_atom_site_label
_atom_site_type_symbol
_atom_site_fract_x
_atom_site_fract_y
_atom_site_fract_z
Tb1 Tb 0.000 0.000 0.000
Hf1 Hf 0.000 0.000 0.500
Ag1 Ag 0.250 0.250 0.750
Os1 Os 0.250 0.250 0.250



# RbB3Pd (PBE-GGA, optimized geometry)
# formation enthalpy at 0 K: 1387 meV per atom
# total magnetization: 0.00 μB per cell
# excess energy over the best structure of this formula in the dataset: 0 meV/atom
# final energy: -3.85 eV/atom
data_RbB3Pd
_cell_length_a 4.289
_cell_length_b 4.289
_cell_length_c 4.289
_cell_angle_alpha 90.00
_cell_angle_beta 90.00
_cell_angle_gamma 90.00
_space_group_name_H-M_alt 'P m -3 m'
_space_group_IT_number 221
_space_group_name_Hall '-P 4 2 3'
loop_
_atom_site_label
_atom_site_type_symbol
_atom_site_fract_x
_atom_site_fract_y
_atom_site_fract_z
Rb1 Rb 0.000 0.000 0.000
B1 B 0.000 0.500 0.500
Pd1 Pd 0.500 0.500 0.500



# SrPm2Pr (PBE-GGA, optimized geometry)
# formation enthalpy at 0 K: 92 meV per atom
# total magnetization: 0.00 μB per cell
# excess energy over the best structure of this formula in the dataset: 0 meV/atom
# final energy: -3.90 eV/atom
data_SrPm2Pr
_cell_length_a 3.7742
_cell_length_b 3.7742
_cell_length_c 37.3710
_cell_angle_alpha 90.00
_cell_angle_beta 90.00
_cell_angle_gamma 120.00
_space_group_name_H-M_alt 'R 3 m'
_space_group_IT_number 160
_space_group_name_Hall 'R 3 -2"'
loop_
_atom_site_label
_atom_site_type_symbol
_atom_site_fract_x
_atom_site_fract_y
_atom_site_fract_z
Sr1 Sr 0.0000 0.0000 0.0000
Pm1 Pm 0.0000 0.0000 0.5776
Pm2 Pm 0.0000 0.0000 0.7547
Pr1 Pr 0.0000 0.0000 0.1657



# Pu2SnI (PBE-GGA, optimized geometry)
# total magnetization: 12.41 μB per cell
# raw formation energy: -0.448 eV/atom
# excess energy over the best structure of this formula in the dataset: 0 meV/atom
# final energy: -9.00 eV/atom
data_Pu2SnI
_cell_length_a 3.625
_cell_length_b 3.625
_cell_length_c 8.493
_cell_angle_alpha 90.00
_cell_angle_beta 90.00
_cell_angle_gamma 90.00
_space_group_name_H-M_alt 'P 4/m m m'
_space_group_IT_number 123
_space_group_name_Hall '-P 4 2'
loop_
_atom_site_label
_atom_site_type_symbol
_atom_site_fract_x
_atom_site_fract_y
_atom_site_fract_z
Pu1 Pu 0.000 0.000 0.242
Sn1 Sn 0.500 0.500 0.000
I1 I 0.500 0.500 0.500



# ZnHgHPb2 (PBE-GGA, optimized geometry)
# total magnetization: 0.00 μB per cell
# final energy: -2.27 eV/atom
data_ZnHgHPb2
_cell_length_a 5.709
_cell_length_b 5.709
_cell_length_c 3.442
_cell_angle_alpha 90.00
_cell_angle_beta 90.00
_cell_angle_gamma 90.00
_space_group_name_H-M_alt 'P 4/m m m'
_space_group_IT_number 123
_space_group_name_Hall '-P 4 2'
loop_
_atom_site_label
_atom_site_type_symbol
_atom_site_fract_x
_atom_site_fract_y
_atom_site_fract_z
Zn1 Zn 0.000 0.000 0.000
Hg1 Hg 0.500 0.500 0.500
H1 H 0.000 0.000 0.500
Pb1 Pb 0.000 0.500 0.000



# RhSe4 (PBE-GGA, optimized geometry)
# total magnetization: 0.00 μB per cell
# raw formation energy: -0.226 eV/atom
# excess energy over the best structure of this formula in the dataset: 0 meV/atom
# final energy: -4.48 eV/atom
data_RhSe4
_cell_length_a 7.141
_cell_length_b 4.945
_cell_length_c 6.835
_cell_angle_alpha 90.00
_cell_angle_beta 91.36
_cell_angle_gamma 90.00
_space_group_name_H-M_alt 'P 1 21/c 1'
_space_group_IT_number 14
loop_
_space_group_symop_operation_xyz
'x,y,z'
'-x,-y,-z'
'-x,y+1/2,-z+1/2'
'x,-y+1/2,z+1/2'
loop_
_atom_site_label
_atom_site_type_symbol
_atom_site_fract_x
_atom_site_fract_y
_atom_site_fract_z
Rh1 Rh 0.000 0.000 0.000
Se1 Se 0.185 0.198 0.279
Se2 Se 0.269 0.686 0.979



# K2CaMn (PBE-GGA, optimized geometry)
# formation enthalpy at 0 K: 1066 meV per atom
# total magnetization: 16.98 μB per cell
# excess energy over the best structure of this formula in the dataset: 590 meV/atom
# final energy: -2.28 eV/atom
data_K2CaMn
_cell_length_a 5.709
_cell_length_b 5.709
_cell_length_c 25.218
_cell_angle_alpha 90.00
_cell_angle_beta 90.00
_cell_angle_gamma 90.00
_space_group_name_H-M_alt 'I -4 2 d'
_space_group_IT_number 122
_space_group_name_Hall 'I -4 2bw'
loop_
_atom_site_label
_atom_site_type_symbol
_atom_site_fract_x
_atom_site_fract_y
_atom_site_fract_z
K1 K 0.002 0.250 0.125
Ca1 Ca 0.000 0.000 0.500
Mn1 Mn 0.000 0.000 0.000



# K3UPa3Se8 (PBE-GGA, optimized geometry)
# total magnetization: 24.10 μB per cell
# raw formation energy: -1.321 eV/atom
# final energy: -6.05 eV/atom
data_K3UPa3Se8
_cell_length_a 8.2615
_cell_length_b 8.2615
_cell_length_c 23.9097
_cell_angle_alpha 90.00
_cell_angle_beta 90.00
_cell_angle_gamma 120.00
_space_group_name_H-M_alt 'R -3 m'
_space_group_IT_number 166
_space_group_name_Hall '-R 3 2"'
loop_
_atom_site_label
_atom_site_type_symbol
_atom_site_fract_x
_atom_site_fract_y
_atom_site_fract_z
K1 K 0.0000 0.5000 0.0000
U1 U 0.0000 0.0000 0.5000
Pa1 Pa 0.0000 0.5000 0.5000
Se1 Se 0.0000 0.0000 0.2373
Se2 Se 0.0031 0.5016 0.7642